RbAlMoO4: optimized geometry, GGA+U.

## Properties
**Uncorrected energy**: -6.532 eV/atom
**Space group**: No. 11
**Magnetic moment**: 4.000 μB per cell

Cell: 5.399 5.575 7.439 Å, 90.00 100.99 90.00°
Sites, in units of the cell vectors:
Rb  0.175  0.250  0.095
Rb  0.825  0.750  0.905
Al  0.371  0.250  0.655
Al  0.629  0.750  0.345
Mo  0.170  0.750  0.459
Mo  0.830  0.250  0.541
O  0.138  0.019  0.662
O  0.138  0.481  0.662
O  0.316  0.750  0.218
O  0.460  0.250  0.436
O  0.540  0.750  0.564
O  0.684  0.250  0.782
O  0.862  0.519  0.338
O  0.862  0.981  0.338